(1)
The following is a PBE calculation of a relaxed structure of Tb2TlCo, from Alexandria.

a = 8.7089 Å, b = 8.7089 Å, c = 8.7089 Å
α = 24.84°, β = 24.84°, γ = 24.84°
Element x y z (fractional)
Tb  0.2292  0.2292  0.2292
Tb  0.7708  0.7708  0.7708
Tl  0.0000  0.0000  0.0000
Co  0.5000  0.5000  0.5000

Results
formation energy	-0.7	eV/f.u.
calculated density	9.410	g/cm3

(2)
The following is a PBE calculation of a relaxed structure of Pm5Ga2Ge, from Alexandria.

a = 8.9852 Å, b = 8.9852 Å, c = 8.9852 Å
α = 128.15°, β = 128.15°, γ = 76.38°
Element x y z (fractional)
Pm  0.0000  0.0000  0.0000
Pm  0.0224  0.5224  0.8445
Pm  0.1779  0.0224  0.5000
Pm  0.3221  0.8221  0.8445
Pm  0.4776  0.3221  0.5000
Pm  0.5000  0.5000  0.0000
Pm  0.5224  0.6779  0.5000
Pm  0.6779  0.1779  0.1555
Pm  0.8221  0.9776  0.5000
Pm  0.9776  0.4776  0.1555
Ga  0.1196  0.3804  0.5000
Ga  0.3804  0.8804  0.2609
Ga  0.6196  0.1196  0.7391
Ga  0.8804  0.6196  0.5000
Ge  0.2500  0.2500  0.0000
Ge  0.7500  0.7500  0.0000

Results
formation energy	-4.3	eV/f.u.
calculated density	7.140	g/cm3

(3)
The following is a PBE calculation of a relaxed structure of BaPd3Pb3, from Alexandria.

a = 7.5512 Å, b = 7.5512 Å, c = 7.5512 Å
α = 73.76°, β = 73.76°, γ = 73.76°
Element x y z (fractional)
Ba  0.1774  0.1774  0.1774
Ba  0.8226  0.8226  0.8226
Pd  0.1811  0.4573  0.7080
Pd  0.2920  0.8189  0.5427
Pd  0.4573  0.7080  0.1811
Pd  0.5427  0.2920  0.8189
Pd  0.7080  0.1811  0.4573
Pd  0.8189  0.5427  0.2920
Pb  0.0873  0.6869  0.3629
Pb  0.3131  0.6371  0.9127
Pb  0.3629  0.0873  0.6869
Pb  0.6371  0.9127  0.3131
Pb  0.6869  0.3629  0.0873
Pb  0.9127  0.3131  0.6371

Results
formation energy	-2.1	eV/f.u.
calculated density	9.245	g/cm3